[1]
Compound: HoBe2H6
Source: the Alexandria database
Functional: PBE-GGA
Structure: optimized geometry Values from VASP.

Summary:
total DFT energy (no corrections)	-24.21	eV for the cell shown
crystal system	cubic

Quantum ESPRESSO input file:
```
&SYSTEM
  ibrav = 0, nat = 9, ntyp = 3
/
ATOMIC_SPECIES
H 1.01 H.upf
Be 9.01 Be.upf
Ho 164.93 Ho.upf
ATOMIC_POSITIONS angstrom
H 3.318 1.165 3.817
H 3.318 1.165 5.747
H 3.875 2.740 4.782
H 2.204 2.740 3.817
H 1.647 1.165 4.782
H 2.204 2.740 5.747
Be 4.141 2.928 7.173
Be 1.381 0.976 2.391
Ho 0.000 0.000 0.000
CELL_PARAMETERS angstrom
4.142 0.000 2.391
1.380 3.904 2.391
0.000 0.000 4.782
```

=====

[2]
Compound: Al2TeC
Source: the Alexandria database
Functional: PBE-GGA
Structure: optimized geometry Values from VASP.

Summary:
formation energy without anion corrections	-3.516	kcal/mol of atoms
crystal system	tetragonal

Quantum ESPRESSO input file:
```
&SYSTEM
  ibrav = 0, nat = 8, ntyp = 3
/
ATOMIC_SPECIES
C 12.01 C.upf
Te 127.60 Te.upf
Al 26.98 Al.upf
ATOMIC_POSITIONS angstrom
C -0.493 -0.570 -3.809
C -2.589 -3.363 -5.099
Te 0.000 0.000 0.000
Te -3.675 0.342 -5.513
Al -2.049 0.591 -3.321
Al -4.891 -1.911 -8.517
Al -4.260 -2.335 -5.497
Al -1.330 -2.386 -3.889
CELL_PARAMETERS angstrom
-1.579 3.135 -4.223
0.593 -4.275 -3.395
-5.279 -1.881 -2.994
```

=====

[3]
Compound: MgCd3Pt
Source: the Alexandria database
Functional: PBE-GGA
Structure: optimized geometry Values from VASP.

Summary:
energy of formation from the pure elements	0.0578	eV/atom
relative energy among the computed polymorphs	0.265	eV per atom
crystal system	cubic

Quantum ESPRESSO input file:
```
&SYSTEM
  ibrav = 0, nat = 5, ntyp = 3
/
ATOMIC_SPECIES
Pt 195.08 Pt.upf
Cd 112.41 Cd.upf
Mg 24.30 Mg.upf
ATOMIC_POSITIONS angstrom
Pt 0.000 0.000 0.000
Cd 0.000 2.611 0.000
Cd 0.000 0.000 2.611
Cd 2.611 0.000 0.000
Mg 2.611 2.611 2.611
CELL_PARAMETERS angstrom
5.222 0.000 0.000
0.000 5.222 0.000
0.000 0.000 5.222
```

=====

[4]
Compound: SrPuPd2
Source: the Alexandria database
Functional: PBE-GGA
Structure: optimized geometry Values from VASP.

Summary:
energy of formation from the pure elements	-0.3739	eV/atom
relative energy among the computed polymorphs	0.097	eV per atom
crystal system	trigonal

Quantum ESPRESSO input file:
```
&SYSTEM
  ibrav = 0, nat = 4, ntyp = 3
/
ATOMIC_SPECIES
Pd 106.42 Pd.upf
Pu 244.00 Pu.upf
Sr 87.62 Sr.upf
ATOMIC_POSITIONS angstrom
Pd 2.157 1.245 1.361
Pd 6.471 3.736 5.392
Pu 0.000 0.000 0.000
Sr 4.314 2.491 3.376
CELL_PARAMETERS angstrom
4.314 0.000 0.000
2.157 3.736 0.000
2.157 1.245 6.753
```

=====

[5]
Compound: TaTl2Pb
Source: the Alexandria database
Functional: PBE-GGA
Structure: optimized geometry Values from VASP.

Summary:
energy of formation from the pure elements	0.5311	eV/atom
relative energy among the computed polymorphs	0.140	eV per atom
crystal system	tetragonal

Quantum ESPRESSO input file:
```
&SYSTEM
  ibrav = 0, nat = 4, ntyp = 3
/
ATOMIC_SPECIES
Tl 204.38 Tl.upf
Pb 207.20 Pb.upf
Ta 180.95 Ta.upf
ATOMIC_POSITIONS angstrom
Tl -2.608 4.594 0.037
Tl -4.782 8.424 0.068
Pb -2.905 1.210 1.163
Ta -5.369 5.550 1.198
CELL_PARAMETERS angstrom
-2.677 -1.513 -0.784
-0.671 -0.406 3.075
-4.926 8.679 0.070
```

=====

[6]
Compound: Sr3Ge4Au2
Source: the Alexandria database
Functional: PBE-GGA
Structure: optimized geometry Values from VASP.

Summary:
energy of formation from the pure elements	-0.6498	eV/atom
crystal system	monoclinic

Quantum ESPRESSO input file:
```
&SYSTEM
  ibrav = 0, nat = 9, ntyp = 3
/
ATOMIC_SPECIES
Sr 87.62 Sr.upf
Au 196.97 Au.upf
Ge 72.64 Ge.upf
ATOMIC_POSITIONS angstrom
Sr 2.214 0.781 5.940
Sr 0.000 0.000 0.000
Sr 0.000 3.372 3.150
Au 0.000 3.372 6.557
Au 2.214 0.781 2.532
Ge 2.214 4.241 5.661
Ge 0.000 1.598 8.397
Ge 2.214 2.555 0.692
Ge 0.000 -0.088 3.429
CELL_PARAMETERS angstrom
4.428 0.000 0.000
-2.214 5.979 0.365
0.000 -1.826 8.724
```

=====

[7]
Compound: Ta2CuTe
Source: the Alexandria database
Functional: PBE-GGA
Structure: optimized geometry Values from VASP.

Summary:
formation energy without anion corrections	13.869	kcal/mol of atoms
crystal system	cubic

Quantum ESPRESSO input file:
```
&SYSTEM
  ibrav = 0, nat = 4, ntyp = 3
/
ATOMIC_SPECIES
Ta 180.95 Ta.upf
Cu 63.55 Cu.upf
Te 127.60 Te.upf
ATOMIC_POSITIONS angstrom
Ta 0.000 0.000 0.000
Ta 0.855 -2.738 0.074
Cu 1.709 -5.476 0.149
Te 2.564 -8.213 0.223
CELL_PARAMETERS angstrom
-0.004 -4.073 -2.315
3.716 -2.842 0.253
-0.294 -4.036 2.361
```

=====

[8]
Compound: ScMoIr
Source: the Alexandria database
Functional: PBE-GGA
Structure: optimized geometry Values from VASP.

Summary:
energy of formation from the pure elements	-0.2780	eV/atom
relative energy among the computed polymorphs	0.000	eV per atom
crystal system	tetragonal

Quantum ESPRESSO input file:
```
&SYSTEM
  ibrav = 0, nat = 3, ntyp = 3
/
ATOMIC_SPECIES
Mo 95.94 Mo.upf
Sc 44.96 Sc.upf
Ir 192.22 Ir.upf
ATOMIC_POSITIONS angstrom
Mo 4.629 1.104 1.836
Sc 8.121 1.941 0.953
Ir 11.911 2.850 -0.006
CELL_PARAMETERS angstrom
6.335 0.015 -0.015
5.656 2.854 -0.010
0.679 0.158 2.835
```

=====

[9]
Compound: Ta2ReRu
Source: the Alexandria database
Functional: PBE-GGA
Structure: optimized geometry Values from VASP.

Summary:
energy of formation from the pure elements	-0.2260	eV/atom
crystal system	orthorhombic

Quantum ESPRESSO input file:
```
&SYSTEM
  ibrav = 0, nat = 4, ntyp = 3
/
ATOMIC_SPECIES
Re 186.21 Re.upf
Ru 101.07 Ru.upf
Ta 180.95 Ta.upf
ATOMIC_POSITIONS angstrom
Re 4.004 2.392 0.000
Ru 1.461 1.957 1.297
Ta 2.866 -0.394 1.297
Ta 7.879 4.707 0.000
CELL_PARAMETERS angstrom
5.344 0.003 0.000
2.535 4.705 0.000
-3.490 -3.107 2.594
```

=====

[10]
Compound: ZrAlCu
Source: the Alexandria database
Functional: PBE-GGA
Structure: optimized geometry Values from VASP.

Summary:
energy of formation from the pure elements	-0.3358	eV/atom
crystal system	orthorhombic

Quantum ESPRESSO input file:
```
&SYSTEM
  ibrav = 0, nat = 6, ntyp = 3
/
ATOMIC_SPECIES
Cu 63.55 Cu.upf
Zr 91.22 Zr.upf
Al 26.98 Al.upf
ATOMIC_POSITIONS angstrom
Cu 1.027 1.064 2.883
Cu 1.027 3.740 2.883
Zr -0.866 5.080 4.927
Zr 2.920 2.404 0.838
Al -0.865 2.403 3.750
Al 2.919 5.080 2.015
CELL_PARAMETERS angstrom
3.783 0.000 0.001
0.000 5.352 0.000
-1.896 0.000 5.033
```

=====

[11]
Compound: MgZn6Pd2
Source: the Alexandria database
Functional: PBE-GGA
Structure: optimized geometry Values from VASP.

Summary:
energy of formation from the pure elements	-0.2183	eV/atom
crystal system	orthorhombic

Quantum ESPRESSO input file:
```
&SYSTEM
  ibrav = 0, nat = 9, ntyp = 3
/
ATOMIC_SPECIES
Pd 106.42 Pd.upf
Zn 65.41 Zn.upf
Mg 24.30 Mg.upf
ATOMIC_POSITIONS angstrom
Pd 2.157 3.730 3.054
Pd 6.471 5.948 4.870
Zn 4.314 2.059 3.433
Zn 4.314 5.607 3.024
Zn 4.314 3.772 1.341
Zn 4.314 4.071 4.900
Zn 4.314 7.619 4.491
Zn 4.314 5.907 6.583
Mg 0.000 0.000 0.000
CELL_PARAMETERS angstrom
4.314 0.000 0.000
2.157 6.540 1.885
2.157 3.138 6.039
```

=====

[12]
Compound: Mg2AlZn
Source: the Alexandria database
Functional: PBE-GGA
Structure: optimized geometry Values from VASP.

Summary:
energy of formation from the pure elements	-0.0061	eV/atom
crystal system	tetragonal

Quantum ESPRESSO input file:
```
&SYSTEM
  ibrav = 0, nat = 4, ntyp = 3
/
ATOMIC_SPECIES
Mg 24.30 Mg.upf
Zn 65.41 Zn.upf
Al 26.98 Al.upf
ATOMIC_POSITIONS angstrom
Mg 1.484 1.496 2.318
Mg 0.000 0.000 8.376
Zn 0.000 0.000 4.351
Al 1.484 1.496 6.185
CELL_PARAMETERS angstrom
2.980 0.013 0.000
-0.012 2.980 0.000
0.000 0.000 8.492
```

=====

no.,total magnetic moment (μB per formula unit)
1,0.00
2,0.00
3,0.00
4,5.39
5,0.00
6,0.00
7,0.00
8,0.00
9,0.00
10,0.00
11,0.00
12,0.00